VASP calculation (GGA-PBE) on a relaxed TlZnCl2 crystal.

Lattice parameters (Å, degrees): 5.1801 5.1801 5.1801 60.00 60.00 60.00
Closest atoms and distances in Å follow each position.
Sites, in units of the cell vectors:
Tl 0.0000 0.0000 0.0000  4 Zn 3.17, 4 Cl 3.17
Zn 0.7500 0.7500 0.7500  4 Cl 3.17, 4 Tl 3.17
Cl 0.2500 0.2500 0.2500  4 Tl 3.17, 4 Cl 3.17
Cl 0.5000 0.5000 0.5000  4 Cl 3.17, 4 Zn 3.17

formation energy without anion corrections: -20.68 kJ per mole of atoms
space group: F-43m (216)
energy above the lowest structure with this stoichiometry: 0.488 eV per atom
density of states at the Fermi level: 3.9 states/eV/f.u.

---

VASP calculation (GGA-PBE) on a relaxed TlZn3Cl9 crystal.

Lattice parameters (Å, degrees): 9.8240 9.8240 12.6198 123.83 123.83 53.77
Closest atoms and distances in Å follow each position.
Sites, in units of the cell vectors:
Tl 0.2278 0.7722 0.5000  6 Cl 2.63-2.70
Tl 0.7722 0.2278 0.0000  6 Cl 2.63-2.70
Zn 0.0169 0.2550 0.8244  4 Cl 2.28-2.30
Zn 0.2550 0.0169 0.3244  4 Cl 2.28-2.30
Zn 0.2882 0.4363 0.6682  4 Cl 2.29-2.33
Zn 0.4363 0.2882 0.1682  4 Cl 2.29-2.33
Zn 0.6682 0.7965 0.2176  4 Cl 2.30-2.31
Zn 0.7965 0.6682 0.7176  4 Cl 2.30-2.31
Cl 0.0859 0.9238 0.3195  1 Zn 2.28
Cl 0.0874 0.1958 0.1940  1 Zn 2.30
Cl 0.1712 0.4204 0.0201  2 Zn 2.29-2.30
Cl 0.1958 0.0874 0.6940  1 Zn 2.30
Cl 0.3133 0.6745 0.6987  1 Zn 2.29
Cl 0.3724 0.4287 0.3664  1 Zn 2.33
Cl 0.4204 0.1712 0.5201  2 Zn 2.29-2.30
Cl 0.4287 0.3724 0.8664  1 Zn 2.33
Cl 0.4627 0.7629 0.2265  2 Zn 2.30
Cl 0.5131 0.9876 0.0978  2 Zn 2.30-2.31
Cl 0.5311 0.7796 0.5576  1 Zn 2.30
Cl 0.6745 0.3133 0.1987  1 Zn 2.29
Cl 0.7629 0.4627 0.7265  2 Zn 2.30
Cl 0.7796 0.5311 0.0576  1 Zn 2.30
Cl 0.8349 0.8860 0.9276  1 Zn 2.30
Cl 0.8860 0.8349 0.4276  1 Zn 2.30
Cl 0.9238 0.0859 0.8195  1 Zn 2.28
Cl 0.9876 0.5131 0.5978  2 Zn 2.30-2.31

formation energy without anion corrections: -91.25 kJ per mole of atoms
space group: Cc (9)
density of states at the Fermi level: 0.0 states/eV/f.u.

---

VASP calculation (GGA-PBE) on a relaxed TlZnCl2 crystal.

Lattice parameters (Å, degrees): 4.3867 4.3867 7.1755 108.48 108.48 59.89
Closest atoms and distances in Å follow each position.
Sites, in units of the cell vectors:
Tl 0.0000 0.0000 0.0000  6 Cl 3.22
Zn 0.5000 0.5000 0.5000  6 Cl 2.85-2.91
Cl 0.2301 0.2301 0.7015  3 Zn 2.85-2.91
Cl 0.7699 0.7699 0.2985  3 Zn 2.85-2.91

formation energy without anion corrections: -53.02 kJ per mole of atoms
space group: C2/m (12)
energy above the lowest structure with this stoichiometry: 0.153 eV per atom
density of states at the Fermi level: 2.5 states/eV/f.u.

---

VASP calculation (GGA-PBE) on a relaxed Tl2Zn2Cl crystal.

Lattice parameters (Å, degrees): 8.1745 8.1745 3.7703 90.00 90.00 90.00
Closest atoms and distances in Å follow each position.
Sites, in units of the cell vectors:
Tl 0.1924 0.3076 0.0000  6 Zn 2.94-3.19
Tl 0.3076 0.8076 0.0000  6 Zn 2.94-3.19
Tl 0.6924 0.1924 0.0000  6 Zn 2.94-3.19
Tl 0.8076 0.6924 0.0000  6 Zn 2.94-3.19
Zn 0.1119 0.6119 0.5000  1 Zn 2.59
Zn 0.3881 0.1119 0.5000  1 Zn 2.59
Zn 0.6119 0.8881 0.5000  1 Zn 2.59
Zn 0.8881 0.3881 0.5000  1 Zn 2.59
Cl 0.0000 0.0000 0.5000  4 Zn 3.30, 8 Tl 3.51
Cl 0.5000 0.5000 0.5000  4 Zn 3.30, 8 Tl 3.51

formation energy without anion corrections: -10.60 kJ per mole of atoms
space group: P4/mbm (127)
energy above the lowest structure with this stoichiometry: 0.000 eV per atom
density of states at the Fermi level: 1.6 states/eV/f.u.

---

VASP calculation (GGA-PBE) on a relaxed TlZnCl2 crystal.

Lattice parameters (Å, degrees): 3.9817 3.9817 7.5359 90.00 90.00 111.48
Closest atoms and distances in Å follow each position.
Sites, in units of the cell vectors:
Tl 0.0000 0.0000 0.0000  4 Cl 3.11
Zn 0.0000 0.0000 0.5000  4 Cl 2.76
Cl 0.5000 0.5000 0.2866  2 Zn 2.76
Cl 0.5000 0.5000 0.7134  2 Zn 2.76

formation energy without anion corrections: -46.63 kJ per mole of atoms
space group: Cmmm (65)
energy above the lowest structure with this stoichiometry: 0.219 eV per atom
density of states at the Fermi level: 1.7 states/eV/f.u.

---

VASP calculation (GGA-PBE) on a relaxed TlZnCl3 crystal.

Lattice parameters (Å, degrees): 6.8697 6.8697 7.1689 100.84 100.84 103.69
Closest atoms and distances in Å follow each position.
Sites, in units of the cell vectors:
Tl 0.1717 0.8283 0.5000  4 Cl 3.12-3.28
Tl 0.8283 0.1717 0.0000  4 Cl 3.12-3.28
Zn 0.5203 0.6262 0.9916  4 Cl 2.24-2.37
Zn 0.6262 0.5203 0.4916  4 Cl 2.24-2.37
Cl 0.3725 0.4349 0.1922  2 Zn 2.34-2.37
Cl 0.3864 0.8905 0.9641  1 Zn 2.24
Cl 0.4349 0.3725 0.6922  2 Zn 2.34-2.37
Cl 0.7261 0.8694 0.5739  1 Zn 2.26
Cl 0.8694 0.7261 0.0739  1 Zn 2.26
Cl 0.8905 0.3864 0.4641  1 Zn 2.24

formation energy without anion corrections: -107.12 kJ per mole of atoms
space group: Cc (9)
energy above the lowest structure with this stoichiometry: 0.010 eV per atom
density of states at the Fermi level: 0.0 states/eV/f.u.

---

VASP calculation (GGA-PBE) on a relaxed Tl5ZnCl8 crystal.

Lattice parameters (Å, degrees): 8.7919 8.7919 8.7919 119.90 119.90 90.17
Closest atoms and distances in Å follow each position.
Sites, in units of the cell vectors:
Tl 0.0000 0.0000 0.0000  4 Cl 2.75
Tl 0.3782 0.1418 0.7594  6 Cl 3.15-3.30
Tl 0.3811 0.6218 0.7635  6 Cl 3.15-3.30
Tl 0.3824 0.6189 0.2406  6 Cl 3.15-3.30
Tl 0.8582 0.6176 0.2365  6 Cl 3.15-3.30
Zn 0.7500 0.2500 0.5000  4 Cl 2.31
Cl 0.0712 0.3583 0.7156  1 Zn 2.31
Cl 0.1258 0.8713 0.7431  1 Tl 2.75
Cl 0.1282 0.3827 0.2569  1 Tl 2.75
Cl 0.1287 0.8718 0.2545  1 Tl 2.75
Cl 0.6173 0.8742 0.7455  1 Tl 2.75
Cl 0.6417 0.3573 0.7129  1 Zn 2.31
Cl 0.6427 0.3556 0.2844  1 Zn 2.31
Cl 0.6444 0.9288 0.2871  1 Zn 2.31

formation energy without anion corrections: -92.57 kJ per mole of atoms
space group: I-4 (82)
density of states at the Fermi level: 5.7 states/eV/f.u.

---

VASP calculation (GGA-PBE) on a relaxed TlZnCl3 crystal.

Lattice parameters (Å, degrees): 6.0894 14.7521 6.3295 90.00 90.00 90.00
Closest atoms and distances in Å follow each position.
Sites, in units of the cell vectors:
Tl 0.0000 0.0000 0.0000  10 Cl 3.35-3.74
Tl 0.0000 0.5000 0.0000  10 Cl 3.35-3.74
Tl 0.5000 0.0000 0.5000  10 Cl 3.35-3.74
Tl 0.5000 0.5000 0.5000  10 Cl 3.35-3.74
Zn 0.1242 0.2500 0.4177  4 Cl 2.25-2.36
Zn 0.3758 0.7500 0.9177  4 Cl 2.25-2.36
Zn 0.6242 0.2500 0.0823  4 Cl 2.25-2.36
Zn 0.8758 0.7500 0.5823  4 Cl 2.25-2.36
Cl 0.0085 0.2500 0.0619  2 Zn 2.34-2.36
Cl 0.0214 0.1113 0.5297  1 Zn 2.25
Cl 0.0214 0.3887 0.5297  1 Zn 2.25
Cl 0.4786 0.6113 0.0297  1 Zn 2.25
Cl 0.4786 0.8887 0.0297  1 Zn 2.25
Cl 0.4915 0.7500 0.5619  2 Zn 2.34-2.36
Cl 0.5085 0.2500 0.4381  2 Zn 2.34-2.36
Cl 0.5214 0.1113 0.9703  1 Zn 2.25
Cl 0.5214 0.3887 0.9703  1 Zn 2.25
Cl 0.9786 0.6113 0.4703  1 Zn 2.25
Cl 0.9786 0.8887 0.4703  1 Zn 2.25
Cl 0.9915 0.7500 0.9381  2 Zn 2.34-2.36

formation energy without anion corrections: -105.51 kJ per mole of atoms
space group: Pnma (62)
energy above the lowest structure with this stoichiometry: 0.027 eV per atom
density of states at the Fermi level: 0.0 states/eV/f.u.

---

VASP calculation (GGA-PBE) on a relaxed TlZnCl3 crystal.

Lattice parameters (Å, degrees): 9.7015 9.7015 7.0057 97.32 97.32 87.90
Closest atoms and distances in Å follow each position.
Sites, in units of the cell vectors:
Tl 0.1032 0.8968 0.7500  6 Cl 3.15-3.26
Tl 0.3114 0.6886 0.2500  6 Cl 3.18-3.41
Tl 0.6886 0.3114 0.7500  6 Cl 3.18-3.41
Tl 0.8968 0.1032 0.2500  6 Cl 3.15-3.26
Zn 0.1979 0.3713 0.7370  4 Cl 2.24-2.37
Zn 0.3713 0.1979 0.2370  4 Cl 2.24-2.37
Zn 0.6287 0.8021 0.7630  4 Cl 2.24-2.37
Zn 0.8021 0.6287 0.2630  4 Cl 2.24-2.37
Cl 0.0238 0.2185 0.6869  1 Zn 2.25
Cl 0.1331 0.5883 0.8471  1 Zn 2.24
Cl 0.2185 0.0238 0.1869  1 Zn 2.25
Cl 0.3012 0.3875 0.4522  2 Zn 2.36-2.37
Cl 0.3875 0.3012 0.9522  2 Zn 2.36-2.37
Cl 0.4117 0.8669 0.6529  1 Zn 2.24
Cl 0.5883 0.1331 0.3471  1 Zn 2.24
Cl 0.6125 0.6988 0.0478  2 Zn 2.36-2.37
Cl 0.6988 0.6125 0.5478  2 Zn 2.36-2.37
Cl 0.7815 0.9762 0.8131  1 Zn 2.25
Cl 0.8669 0.4117 0.1529  1 Zn 2.24
Cl 0.9762 0.7815 0.3131  1 Zn 2.25

formation energy without anion corrections: -106.71 kJ per mole of atoms
space group: C2/c (15)
energy above the lowest structure with this stoichiometry: 0.015 eV per atom
density of states at the Fermi level: 0.0 states/eV/f.u.

---

VASP calculation (GGA-PBE) on a relaxed TlZnCl2 crystal.

Lattice parameters (Å, degrees): 3.8253 3.8253 9.0393 90.00 90.00 121.59
Closest atoms and distances in Å follow each position.
Sites, in units of the cell vectors:
Tl 0.0000 0.0000 0.0000  2 Cl 2.72, 2 Zn 2.90
Zn 0.5000 0.5000 0.2449  2 Cl 2.36
Cl 0.0000 0.0000 0.4050  2 Zn 2.36
Cl 0.5000 0.5000 0.7807  2 Tl 2.72

formation energy without anion corrections: -46.26 kJ per mole of atoms
space group: Cmm2 (35)
energy above the lowest structure with this stoichiometry: 0.223 eV per atom
density of states at the Fermi level: 1.0 states/eV/f.u.

---

VASP calculation (GGA-PBE) on a relaxed TlZnCl4 crystal.

Lattice parameters (Å, degrees): 6.6935 6.6935 6.6935 120.01 120.01 89.99
Closest atoms and distances in Å follow each position.
Sites, in units of the cell vectors:
Tl 0.0000 0.0000 0.0000  4 Cl 2.76
Zn 0.7500 0.2500 0.5000  4 Cl 2.29
Cl 0.0931 0.1800 0.5215  1 Zn 2.29
Cl 0.4284 0.9069 0.0869  1 Zn 2.29
Cl 0.6585 0.5716 0.4785  1 Zn 2.29
Cl 0.8200 0.3415 0.9131  1 Zn 2.29

formation energy without anion corrections: -83.62 kJ per mole of atoms
space group: I-4 (82)
energy above the lowest structure with this stoichiometry: 0.000 eV per atom
density of states at the Fermi level: 3.7 states/eV/f.u.

---

VASP calculation (GGA-PBE) on a relaxed TlZnCl2 crystal.

Lattice parameters (Å, degrees): 5.4439 5.4439 3.8232 101.51 101.51 89.93
Closest atoms and distances in Å follow each position.
Sites, in units of the cell vectors:
Tl 0.0000 0.0000 0.0000  4 Cl 3.00
Zn 0.5000 0.5000 0.0000  4 Cl 3.00
Cl 0.0000 0.5000 0.5000  2 Tl 3.00, 2 Zn 3.00
Cl 0.5000 0.0000 0.5000  2 Tl 3.00, 2 Zn 3.00

formation energy without anion corrections: -44.41 kJ per mole of atoms
space group: C2/m (12)
energy above the lowest structure with this stoichiometry: 0.242 eV per atom
density of states at the Fermi level: 1.7 states/eV/f.u.